8
Lattice="4.990 0.000 0.000 0.000 4.990 0.000 0.000 0.000 9.969" Properties=species:S:1:pos:R:3 comment="TbCeHo6 | Alexandria via LeMat-Bulk | PBE | optimized geometry" de_polymorph_mev_per_atom=0 crystal_system=tetragonal spacegroup="P4/mmm, No. 123" formation_enthalpy_0k_ev_per_atom=0.04 volume_a3_per_cell=248 dft_energy_ev_per_atom=-4.71 pbc="T T T"
Tb 0.000 0.000 0.000
Ce 0.000 0.000 4.984
Ho 0.000 2.495 2.506
Ho 0.000 2.495 7.462
Ho 2.495 0.000 2.506
Ho 2.495 0.000 7.462
Ho 2.495 2.495 0.000
Ho 2.495 2.495 4.984